Entry 1:
DFT (PBE-GGA) results for crystalline InBSe2 at its relaxed geometry.

Cell: 6.6983 6.6983 7.9510 Å, 90.00 90.00 90.00°
Space group I-42d (No. 122)
Inequivalent atoms, fractional coordinates:
In  0.0000  0.0000  0.0000 x4
B  0.0000  0.0000  0.5000 x4
Se  0.1262  0.7500  0.6250 x8

Properties
* energy above the lowest structure with this stoichiometry: 0 meV/atom
* formation energy without anion corrections: -0.04 eV per atom
* DOS at the Fermi energy: 0.00 states/eV/cell
* total magnetic moment: 0.0 Bohr magnetons per cell

Entry 2:
DFT (PBE-GGA) results for crystalline LiPIrS2 at its relaxed geometry.

Cell: 4.2782 4.2782 4.1232 Å, 90.00 90.00 90.00°
Space group P4/mmm (No. 123)
Inequivalent atoms, fractional coordinates:
Li  0.0000  0.0000  0.0000 x1
P  0.0000  0.0000  0.5000 x1
Ir  0.5000  0.5000  0.5000 x1
S  0.0000  0.5000  0.0000 x2

Properties
* energy above the lowest structure with this stoichiometry: 748 meV/atom
* formation energy without anion corrections: 0.99 eV per atom
* DOS at the Fermi energy: 2.66 states/eV/cell
* total magnetic moment: 0.0 Bohr magnetons per cell

Entry 3:
DFT (PBE-GGA) results for crystalline ZrReHRu2 at its relaxed geometry.

Cell: 4.0457 4.0457 4.0075 Å, 90.00 90.00 90.00°
Space group P4/mmm (No. 123)
Inequivalent atoms, fractional coordinates:
Zr  0.0000  0.0000  0.0000 x1
Re  0.5000  0.5000  0.0000 x1
H  0.5000  0.5000  0.5000 x1
Ru  0.0000  0.5000  0.5000 x2

Properties
* DOS at the Fermi energy: 5.08 states/eV/cell
* E_tot: -8.63 eV per atom
* total magnetic moment: 0.0 Bohr magnetons per cell